Record 1
{"formula": "ZnGeSeO", "functional": "GGA-PBE", "state": "optimized geometry", "formation_energy_uncorrected_ev_per_atom": -0.743, "polymorph_energy_ev_per_fu": 0.20, "spacegroup": "No. 8", "dos_at_fermi_per_ev_cell": 0.00, "cell": [[3.4160, -1.9743, 0.0000], [3.4160, 1.9743, 0.0000], [-0.2011, 0.0000, 5.9940]], "species": ["Zn", "Ge", "Se", "O"], "fractional_positions": [[0.0000, 0.0000, 0.0000], [0.2482, 0.2482, 0.4788], [0.6698, 0.6698, 0.8308], [0.0199, 0.0199, 0.3252]]}



Record 2
{"formula": "Ca2BeCdAu6", "functional": "GGA-PBE", "state": "optimized geometry", "e_form_ev_per_atom": -0.399, "spacegroup": "No. 2", "dos_at_fermi_per_ev_cell": 3.60, "cell": [[5.5524, 0.0000, 0.0000], [2.7294, 5.9528, 0.0000], [2.7549, -0.5891, 6.7174]], "species": ["Ca", "Ca", "Be", "Cd", "Au", "Au", "Au", "Au", "Au", "Au"], "fractional_positions": [[0.0193, 0.2350, 0.1994], [0.9807, 0.7650, 0.8006], [0.5000, 0.0000, 0.5000], [0.5000, 0.5000, 0.0000], [0.0442, 0.2168, 0.7434], [0.3542, 0.3723, 0.3908], [0.4361, 0.7934, 0.2893], [0.5639, 0.2066, 0.7107], [0.6458, 0.6277, 0.6092], [0.9558, 0.7832, 0.2566]]}



Record 3
{"formula": "MgRe", "functional": "GGA-PBE", "state": "optimized geometry", "e_form_ev_per_atom": 0.067, "polymorph_energy_ev_per_fu": 0.00, "spacegroup": "No. 129", "dos_at_fermi_per_ev_cell": 0.44, "cell": [[3.0850, 0.0000, 0.0000], [0.0000, 3.0850, 0.0000], [0.0000, 0.0000, 7.2260]], "species": ["Mg", "Mg", "Re", "Re"], "fractional_positions": [[0.2500, 0.2500, 0.1510], [0.7500, 0.7500, 0.8490], [0.2500, 0.2500, 0.5963], [0.7500, 0.7500, 0.4037]]}



Record 4
{"formula": "Tl2Te2Br7", "functional": "GGA-PBE", "state": "optimized geometry", "formation_energy_uncorrected_ev_per_atom": -0.387, "spacegroup": "No. 12", "dos_at_fermi_per_ev_cell": 4.07, "cell": [[4.5587, -5.9281, 0.0000], [4.5587, 5.9281, 0.0000], [-1.1211, 0.0000, 8.2899]], "species": ["Tl", "Tl", "Te", "Te", "Br", "Br", "Br", "Br", "Br", "Br", "Br"], "fractional_positions": [[0.2324, 0.7676, 0.0000], [0.7676, 0.2324, 0.0000], [0.1869, 0.1869, 0.5067], [0.8131, 0.8131, 0.4933], [0.0487, 0.3887, 0.7360], [0.1579, 0.1579, 0.1800], [0.3887, 0.0487, 0.7360], [0.5000, 0.5000, 0.5000], [0.6113, 0.9513, 0.2640], [0.8421, 0.8421, 0.8200], [0.9513, 0.6113, 0.2640]]}



Record 5
{"formula": "SiTe3O", "functional": "GGA-PBE", "state": "optimized geometry", "formation_energy_uncorrected_ev_per_atom": 0.382, "polymorph_energy_ev_per_fu": 0.00, "spacegroup": "No. 221", "dos_at_fermi_per_ev_cell": 2.05, "cell": [[4.8258, 0.0000, 0.0000], [0.0000, 4.8258, 0.0000], [0.0000, 0.0000, 4.8258]], "species": ["Si", "Te", "Te", "Te", "O"], "fractional_positions": [[0.0000, 0.0000, 0.0000], [0.0000, 0.5000, 0.5000], [0.5000, 0.0000, 0.5000], [0.5000, 0.5000, 0.0000], [0.5000, 0.5000, 0.5000]]}



Record 6
{"formula": "BaCa2Zr", "functional": "GGA-PBE", "state": "optimized geometry", "e_form_ev_per_atom": 0.418, "polymorph_energy_ev_per_fu": 0.37, "spacegroup": "No. 25", "dos_at_fermi_per_ev_cell": 5.34, "cell": [[3.8031, 0.0000, 0.0000], [0.0000, 4.9005, 0.0000], [0.0000, 0.0000, 8.4429]], "species": ["Ba", "Ca", "Ca", "Zr"], "fractional_positions": [[0.0000, 0.0000, 0.0000], [0.0000, 0.0000, 0.5571], [0.5000, 0.5000, 0.3181], [0.5000, 0.5000, 0.7390]]}



Record 7
{"formula": "CsAs3Pt3", "functional": "GGA-PBE", "state": "optimized geometry", "e_form_ev_per_atom": -0.403, "spacegroup": "No. 148", "dos_at_fermi_per_ev_cell": 4.63, "cell": [[3.5875, 2.0712, 8.7236], [-3.5875, 2.0712, 8.7236], [0.0000, -4.1425, 8.7236]], "species": ["Cs", "Cs", "As", "As", "As", "As", "As", "As", "Pt", "Pt", "Pt", "Pt", "Pt", "Pt"], "fractional_positions": [[0.1666, 0.1666, 0.1666], [0.8334, 0.8334, 0.8334], [0.0666, 0.7200, 0.3943], [0.2800, 0.6057, 0.9334], [0.3943, 0.0666, 0.7200], [0.6057, 0.9334, 0.2800], [0.7200, 0.3943, 0.0666], [0.9334, 0.2800, 0.6057], [0.0305, 0.3678, 0.7065], [0.2935, 0.9695, 0.6322], [0.3678, 0.7065, 0.0305], [0.6322, 0.2935, 0.9695], [0.7065, 0.0305, 0.3678], [0.9695, 0.6322, 0.2935]]}



Record 8
{"formula": "MnCd2Tc", "functional": "GGA-PBE", "state": "optimized geometry", "e_form_ev_per_atom": 0.417, "polymorph_energy_ev_per_fu": 0.94, "spacegroup": "No. 139", "dos_at_fermi_per_ev_cell": 2.97, "cell": [[-1.9962, 1.9962, 4.3150], [1.9962, -1.9962, 4.3150], [1.9962, 1.9962, -4.3150]], "species": ["Mn", "Cd", "Cd", "Tc"], "fractional_positions": [[0.0000, 0.0000, 0.0000], [0.2500, 0.7500, 0.5000], [0.7500, 0.2500, 0.5000], [0.5000, 0.5000, 0.0000]]}



Record 9
{"formula": "Li2ZnRe", "functional": "GGA-PBE", "state": "optimized geometry", "e_form_ev_per_atom": 0.233, "spacegroup": "No. 65", "dos_at_fermi_per_ev_cell": 2.06, "cell": [[2.6130, -4.4296, 0.0000], [2.6130, 4.4296, 0.0000], [0.0000, 0.0000, 2.4857]], "species": ["Li", "Li", "Zn", "Re"], "fractional_positions": [[0.0000, 0.5000, 0.0000], [0.5000, 0.0000, 0.0000], [0.0000, 0.0000, 0.5000], [0.5000, 0.5000, 0.5000]]}



Record 10
{"formula": "Th6Mg3Se14", "functional": "GGA-PBE", "state": "optimized geometry", "formation_energy_uncorrected_ev_per_atom": -1.538, "spacegroup": "No. 143", "dos_at_fermi_per_ev_cell": 8.84, "cell": [[10.5783, 0.0000, 0.0000], [-5.2891, 9.1611, 0.0000], [0.0000, 0.0000, 6.1297]], "species": ["Th", "Th", "Th", "Th", "Th", "Th", "Mg", "Mg", "Mg", "Se", "Se", "Se", "Se", "Se", "Se", "Se", "Se", "Se", "Se", "Se", "Se", "Se", "Se"], "fractional_positions": [[0.0341, 0.5647, 0.0000], [0.2991, 0.0984, 0.5046], [0.4353, 0.4693, 0.0000], [0.5307, 0.9659, 0.0000], [0.7992, 0.7009, 0.5046], [0.9016, 0.2008, 0.5046], [0.0000, 0.0000, 0.9180], [0.3333, 0.6667, 0.4133], [0.6667, 0.3333, 0.2613], [0.0000, 0.0000, 0.3198], [0.0871, 0.8362, 0.7474], [0.1638, 0.2509, 0.7474], [0.1724, 0.4156, 0.2442], [0.2432, 0.8276, 0.2442], [0.3333, 0.6667, 0.8146], [0.4166, 0.1787, 0.0199], [0.5096, 0.4255, 0.5018], [0.5745, 0.0840, 0.5018], [0.5844, 0.7568, 0.2442], [0.7491, 0.9129, 0.7474], [0.7621, 0.5834, 0.0199], [0.8213, 0.2379, 0.0199], [0.9160, 0.4904, 0.5018]]}



Record 11
{"formula": "Pm5AlTl3", "functional": "GGA-PBE", "state": "optimized geometry", "e_form_ev_per_atom": -0.341, "spacegroup": "No. 193", "dos_at_fermi_per_ev_cell": 16.34, "cell": [[9.5517, 0.0000, 0.0000], [-4.7758, 8.2720, 0.0000], [0.0000, 0.0000, 6.6913]], "species": ["Pm", "Pm", "Pm", "Pm", "Pm", "Pm", "Pm", "Pm", "Pm", "Pm", "Al", "Al", "Tl", "Tl", "Tl", "Tl", "Tl", "Tl"], "fractional_positions": [[0.0000, 0.2768, 0.2500], [0.0000, 0.7232, 0.7500], [0.2768, 0.0000, 0.2500], [0.2768, 0.2768, 0.7500], [0.3333, 0.6667, 0.0000], [0.3333, 0.6667, 0.5000], [0.6667, 0.3333, 0.0000], [0.6667, 0.3333, 0.5000], [0.7232, 0.0000, 0.7500], [0.7232, 0.7232, 0.2500], [0.0000, 0.0000, 0.0000], [0.0000, 0.0000, 0.5000], [0.0000, 0.3748, 0.7500], [0.0000, 0.6252, 0.2500], [0.3748, 0.0000, 0.7500], [0.3748, 0.3748, 0.2500], [0.6252, 0.0000, 0.2500], [0.6252, 0.6252, 0.7500]]}



Record 12
{"formula": "TlH2OsPt", "functional": "GGA-PBE", "state": "optimized geometry", "total_energy_ev_per_cell": -21.02, "spacegroup": "No. 123", "dos_at_fermi_per_ev_cell": 3.97, "cell": [[3.6343, 0.0000, 0.0000], [0.0000, 3.6343, 0.0000], [0.0000, 0.0000, 5.8477]], "species": ["Tl", "H", "H", "Os", "Pt"], "fractional_positions": [[0.0000, 0.0000, 0.0000], [0.0000, 0.5000, 0.0000], [0.5000, 0.0000, 0.0000], [0.0000, 0.0000, 0.5000], [0.5000, 0.5000, 0.5000]]}